[1]
The following is a PBE calculation of a relaxed Mg2ZnReN4 crystal, from Alexandria.

The structure in extended XYZ format:
```
8
Lattice="-4.423 -0.768 1.783 -1.782 -0.153 -4.487 3.813 -3.938 1.220" Properties=species:S:1:pos:R:3 pbc="T T T"
N -0.881 -3.617 -0.726
N -3.551 -1.597 0.064
N 1.980 -3.192 0.521
N -2.333 -1.313 -2.828
Zn 0.000 0.000 0.000
Re -3.103 -0.461 -1.352
Mg -1.857 -2.584 0.825
Mg -0.536 -2.276 -2.310
```

=====

[2]
The following is a PBE calculation of a relaxed CePm8Pr3 crystal, from Alexandria.

The structure in extended XYZ format:
```
12
Lattice="-4.126 5.681 4.771 -4.507 -6.485 -3.111 5.718 -4.930 3.879" Properties=species:S:1:pos:R:3 pbc="T T T"
Pr -4.014 -3.256 1.022
Pr 0.606 -5.708 0.384
Pr 1.099 -2.478 4.517
Pm -0.566 -2.749 1.440
Pm -2.977 2.945 3.700
Pm -0.801 0.145 7.012
Pm -2.063 -6.355 -1.442
Pm 2.166 -8.483 1.435
Pm -0.325 -8.862 -0.268
Pm -1.274 -5.484 3.084
Pm -1.691 0.225 2.423
Ce 0.000 0.000 0.000
```

Values from the calculation:
Formation enthalpy at 0 K: 522.2 meV/atom

=====

[3]
The following is a PBE calculation of a relaxed PmAs2OsO8 crystal, from Alexandria.

The structure in extended XYZ format:
```
12
Lattice="-0.813 1.802 -5.110 -0.161 -5.371 1.069 -6.663 0.442 1.216" Properties=species:S:1:pos:R:3 pbc="T T T"
Pm -3.332 0.221 0.608
O -1.666 -0.183 -1.173
O -2.099 0.776 -3.894
O -5.972 -2.944 -1.652
O -3.575 -2.768 -0.407
O -4.062 -0.359 -2.418
O -5.539 -3.903 1.069
O -5.453 -1.043 0.500
O -2.185 -2.084 -3.325
As -2.404 -0.469 -2.720
As -5.233 -2.658 -0.105
Os 0.000 0.000 0.000
```

=====

[4]
The following is a PBE calculation of a relaxed Tm3ZrHg12 crystal, from Alexandria.

The structure in extended XYZ format:
```
16
Lattice="4.463 0.000 0.000 0.000 4.463 0.000 0.000 0.000 18.862" Properties=species:S:1:pos:R:3 pbc="T T T"
Hg 2.231 0.000 16.606
Hg 0.000 2.231 2.256
Hg 0.000 2.231 16.606
Hg 2.231 0.000 2.256
Hg 2.231 0.000 11.841
Hg 0.000 2.231 7.021
Hg 2.231 2.231 9.431
Hg 2.231 2.231 4.604
Hg 0.000 2.231 11.841
Hg 2.231 0.000 7.021
Hg 2.231 2.231 0.000
Hg 2.231 2.231 14.258
Tm 0.000 0.000 4.625
Tm 0.000 0.000 9.431
Tm 0.000 0.000 14.238
Zr 0.000 0.000 0.000
```

Values from the calculation:
Formation enthalpy at 0 K: -220.2 meV/atom

=====

[5]
The following is a PBE calculation of a relaxed Tb2Mn2InRh5 crystal, from Alexandria.

The structure in extended XYZ format:
```
20
Lattice="3.749 0.000 0.000 0.000 9.629 0.000 0.000 0.000 9.629" Properties=species:S:1:pos:R:3 pbc="T T T"
Rh 1.875 4.173 2.780
Rh 1.875 2.035 0.641
Rh 1.875 0.641 7.595
Rh 1.875 5.456 6.849
Rh 1.875 0.000 4.815
Rh 1.875 7.595 8.988
Rh 1.875 4.815 0.000
Rh 1.875 2.780 5.456
Rh 1.875 8.988 2.035
Rh 1.875 6.849 4.173
In 0.000 4.815 4.815
In 0.000 0.000 0.000
Mn 0.000 8.481 3.666
Mn 0.000 3.666 1.149
Mn 0.000 5.963 8.481
Mn 0.000 1.149 5.963
Tb 0.000 6.534 1.719
Tb 0.000 7.910 6.534
Tb 0.000 3.096 7.910
Tb 0.000 1.719 3.096
```

Values from the calculation:
Formation enthalpy at 0 K: -451.5 meV/atom

=====

[6]
The following is a PBE calculation of a relaxed Sm7Pd3 crystal, from Alexandria.

The structure in extended XYZ format:
```
20
Lattice="-1.178 -4.274 -4.612 9.458 1.019 -3.359 -2.149 -6.950 6.990" Properties=species:S:1:pos:R:3 pbc="T T T"
Sm 4.709 -7.130 1.640
Sm 0.980 -6.978 0.643
Sm 3.354 -5.357 -1.487
Sm 1.011 -4.566 -4.229
Sm -0.589 -4.220 2.904
Sm 2.229 -6.507 4.304
Sm 7.002 -4.964 -2.783
Sm 5.438 -2.185 -0.500
Sm 0.147 -3.427 -0.627
Sm 3.058 -3.827 1.608
Sm 5.574 -8.269 -1.963
Sm 4.183 -2.676 -4.183
Sm 6.916 -3.930 -6.326
Sm -1.195 -7.765 3.737
Pd 2.747 -2.523 -1.664
Pd 6.815 -2.085 -3.109
Pd -0.047 -6.174 -2.004
Pd 5.891 -5.074 -0.102
Pd -0.971 -9.163 1.002
Pd 3.097 -8.725 -0.443
```

Values from the calculation:
Formation enthalpy at 0 K: -508.7 meV/atom

=====

[7]
The following is a PBE calculation of a relaxed MgPb2Br crystal, from Alexandria.

The structure in extended XYZ format:
```
4
Lattice="-4.480 -1.812 -4.242 2.052 -0.471 -6.076 0.443 -2.107 6.059" Properties=species:S:1:pos:R:3 pbc="T T T"
Mg 0.595 -1.903 -2.782
Pb -0.086 -0.080 -0.364
Pb -2.615 -2.520 -1.626
Br -1.093 -1.028 -4.647
```

Values from the calculation:
Polymorph energy (0 for the lowest one): 0.102 eV/atom

=====

Number 1: DFT total energy -6.6934 eV/atom. Number 2: DFT total energy -4.3343 eV/atom. Number 3: DFT total energy -6.8069 eV/atom. Number 4: DFT total energy -1.8193 eV/atom. Number 5: DFT total energy -7.1610 eV/atom. Number 6: DFT total energy -5.3700 eV/atom. Number 7: DFT total energy -2.9162 eV/atom.